VASP calculation (PBE) on Tc2Ir2Os after structural relaxation.

Cell lengths 3.5085, 3.5085, 12.8806 Å; angles 90.00, 90.00, 90.00 degrees
Element x y z (fractional)
Tc: 0.0000 0.5000 0.2500
Tc: 0.0000 0.5000 0.7500
Tc: 0.5000 0.0000 0.2500
Tc: 0.5000 0.0000 0.7500
Ir: 0.0000 0.0000 0.0971
Ir: 0.0000 0.0000 0.9029
Ir: 0.5000 0.5000 0.4029
Ir: 0.5000 0.5000 0.5971
Os: 0.0000 0.0000 0.5000
Os: 0.5000 0.5000 0.0000

Summary:
Energy of formation from the pure elements: 0.615 eV per atom
D(E_F): 5.34 states/eV/f.u.
ΔE to the lowest computed polymorph: 703 meV per atom

=====

VASP calculation (PBE) on TcIr6Os after structural relaxation.

Cell lengths 5.4695, 5.4695, 3.8664 Å; angles 90.00, 90.00, 90.00 degrees
Element x y z (fractional)
Tc: 0.0000 0.0000 0.0000
Ir: 0.0000 0.5000 0.0000
Ir: 0.2497 0.2497 0.5000
Ir: 0.2497 0.7503 0.5000
Ir: 0.5000 0.0000 0.0000
Ir: 0.7503 0.2497 0.5000
Ir: 0.7503 0.7503 0.5000
Os: 0.5000 0.5000 0.0000

Summary:
Energy of formation from the pure elements: -0.046 eV per atom
D(E_F): 7.32 states/eV/f.u.
ΔE to the lowest computed polymorph: 0 meV per atom

=====

VASP calculation (PBE) on Tc3Ir12Os4 after structural relaxation.

Cell lengths 8.0424, 8.0424, 8.0424 Å; angles 109.47, 109.47, 109.47 degrees
Element x y z (fractional)
Tc: 0.0000 0.5000 0.5000
Tc: 0.5000 0.0000 0.5000
Tc: 0.5000 0.5000 0.0000
Ir: 0.0960 0.7355 0.3605
Ir: 0.2645 0.3605 0.6251
Ir: 0.2645 0.6395 0.9040
Ir: 0.3605 0.0960 0.7355
Ir: 0.3605 0.6251 0.2645
Ir: 0.3749 0.7355 0.6395
Ir: 0.6251 0.2645 0.3605
Ir: 0.6395 0.3749 0.7355
Ir: 0.6395 0.9040 0.2645
Ir: 0.7355 0.3605 0.0960
Ir: 0.7355 0.6395 0.3749
Ir: 0.9040 0.2645 0.6395
Os: 0.0000 0.0000 0.5000
Os: 0.0000 0.5000 0.0000
Os: 0.5000 0.0000 0.0000
Os: 0.5000 0.5000 0.5000

Summary:
Energy of formation from the pure elements: 0.855 eV per atom
D(E_F): 22.79 states/eV/f.u.

=====

VASP calculation (PBE) on TcIr2Os3 after structural relaxation.

Cell lengths 6.1043, 6.1043, 8.6426 Å; angles 115.15, 115.15, 36.92 degrees
Element x y z (fractional)
Tc: 0.1260 0.1260 0.1293
Tc: 0.8740 0.8740 0.8707
Ir: 0.2096 0.2096 0.8741
Ir: 0.4606 0.4606 0.1252
Ir: 0.5394 0.5394 0.8748
Ir: 0.7904 0.7904 0.1259
Os: 0.0430 0.0430 0.3767
Os: 0.2920 0.2920 0.6253
Os: 0.3750 0.3750 0.3774
Os: 0.6250 0.6250 0.6226
Os: 0.7080 0.7080 0.3747
Os: 0.9570 0.9570 0.6233

Summary:
Energy of formation from the pure elements: -0.001 eV per atom
D(E_F): 5.34 states/eV/f.u.

=====

VASP calculation (PBE) on Tc4Ir3Os2 after structural relaxation.

Cell lengths 7.7786, 7.7786, 4.7187 Å; angles 98.00, 98.00, 72.50 degrees
Element x y z (fractional)
Tc: 0.0476 0.8300 0.9440
Tc: 0.1700 0.9524 0.5560
Tc: 0.3005 0.4892 0.6880
Tc: 0.4892 0.3005 0.1880
Tc: 0.5108 0.6995 0.8120
Tc: 0.6995 0.5108 0.3120
Tc: 0.8300 0.0476 0.4440
Tc: 0.9524 0.1700 0.0560
Ir: 0.0213 0.3194 0.5761
Ir: 0.3194 0.0213 0.0761
Ir: 0.3358 0.6642 0.2500
Ir: 0.6642 0.3358 0.7500
Ir: 0.6806 0.9787 0.9239
Ir: 0.9787 0.6806 0.4239
Os: 0.1472 0.3900 0.1288
Os: 0.3900 0.1472 0.6288
Os: 0.6100 0.8528 0.3712
Os: 0.8528 0.6100 0.8712

Summary:
Energy of formation from the pure elements: 0.089 eV per atom
D(E_F): 6.93 states/eV/f.u.

=====

VASP calculation (PBE) on VTcIrOs after structural relaxation.

Cell lengths 2.7134, 4.2181, 10.8567 Å; angles 90.00, 90.00, 90.00 degrees
Element x y z (fractional)
V: 0.0000 0.0000 0.0000
V: 0.5000 0.5000 0.5000
Tc: 0.0000 0.5000 0.1474
Tc: 0.5000 0.0000 0.6474
Ir: 0.0000 0.0000 0.4266
Ir: 0.5000 0.5000 0.9266
Os: 0.0000 0.5000 0.7216
Os: 0.5000 0.0000 0.2216

Summary:
Energy of formation from the pure elements: 0.051 eV per atom
D(E_F): 4.45 states/eV/f.u.